# 1
Density functional theory data (GGA-PBE) for a geometry-optimized NdSmSbI structure.

a b c (Å): 7.768 7.768 7.768
angles (deg): 90.00 90.00 90.00
Space group F-43m (No. 216)
Unique sites:
1 Nd 0.000 0.000 0.000
2 Sm 0.000 0.000 0.500
3 Sb 0.250 0.250 0.750
4 I 0.250 0.250 0.250

Summary:
The value obtained for the calculated density is 7.70 Mg/m³. The value obtained for the magnetic moment is 0.0051 μB per atom. As for the uncorrected formation energy: -0.95 eV per atom.


# 2
Density functional theory data (GGA-PBE) for a geometry-optimized NdScI2 structure.

a b c (Å): 3.8291 3.8291 31.3063
angles (deg): 90.00 90.00 120.00
Space group R-3m (No. 166, hexagonal axes)
Unique sites:
1 Nd 0.0000 0.0000 0.0000
2 Sc 0.0000 0.0000 0.5000
3 I 0.0000 0.0000 0.1042

Summary:
The value obtained for the calculated density is 5.55 Mg/m³. The value obtained for the magnetic moment is 0.1672 μB per atom. As for the uncorrected formation energy: -0.59 eV per atom.


# 3
Density functional theory data (GGA-PBE) for a geometry-optimized Nd2ScI structure.

a b c (Å): 3.6204 3.6204 34.3741
angles (deg): 90.00 90.00 120.00
Space group R-3m (No. 166, hexagonal axes)
Unique sites:
1 Nd 0.0000 0.0000 0.0918
2 Sc 0.0000 0.0000 0.0000
3 I 0.0000 0.0000 0.5000

Summary:
Its energy relative to the lowest polymorph listed for this composition is 0.265 eV per atom. The value obtained for the calculated density is 5.88 Mg/m³. The value obtained for the magnetic moment is 0.1407 μB per atom. As for the uncorrected formation energy: -0.05 eV per atom.


# 4
Density functional theory data (GGA-PBE) for a geometry-optimized NdScI4 structure.

a b c (Å): 7.302 4.122 8.342
angles (deg): 90.00 105.77 90.00
Space group P2/m (No. 10)
Unique sites:
1 Nd 0.000 0.000 0.000
2 Sc 0.500 0.500 0.000
3 I 0.265 0.500 0.246
4 I 0.277 0.000 0.770

Summary:
The value obtained for the calculated density is 4.79 Mg/m³. The value obtained for the magnetic moment is 0.0001 μB per atom. As for the uncorrected formation energy: -1.19 eV per atom.